(1)
# Gd2PaIn

A relaxed Gd2PaIn crystal (PBE-GGA, Alexandria via LeMat-Bulk).

```
data_Gd2PaIn
_chemical_formula_sum 'Gd2 Pa1 In1'
_cell_length_a 4.865
_cell_length_b 4.865
_cell_length_c 4.609
_cell_angle_alpha 90.00
_cell_angle_beta 90.00
_cell_angle_gamma 90.00
_symmetry_space_group_name_H-M 'P 1'
_symmetry_Int_Tables_number 1
loop_
_symmetry_equiv_pos_as_xyz
'x,y,z'
loop_
_atom_site_label
_atom_site_type_symbol
_atom_site_fract_x
_atom_site_fract_y
_atom_site_fract_z
Gd1 Gd 0.000 0.500 0.000
Gd2 Gd 0.500 0.000 0.000
Pa1 Pa 0.000 0.000 0.500
In1 In 0.500 0.500 0.500
```

Computed properties:
**Formation enthalpy at 0 K**: -0.0241 eV/atom
**Distance to the lowest polymorph of the same formula**: 85.1 meV/atom
**DOS(E_F)**: 6.288 states/eV/f.u.


(2)
# BaSr2CoTe

A relaxed BaSr2CoTe crystal (PBE-GGA, Alexandria via LeMat-Bulk).

```
data_BaSr2CoTe
_chemical_formula_sum 'Ba1 Sr2 Co1 Te1'
_cell_length_a 5.641
_cell_length_b 5.641
_cell_length_c 5.618
_cell_angle_alpha 90.00
_cell_angle_beta 90.00
_cell_angle_gamma 90.00
_symmetry_space_group_name_H-M 'P 1'
_symmetry_Int_Tables_number 1
loop_
_symmetry_equiv_pos_as_xyz
'x,y,z'
loop_
_atom_site_label
_atom_site_type_symbol
_atom_site_fract_x
_atom_site_fract_y
_atom_site_fract_z
Ba1 Ba 0.000 0.000 0.000
Sr1 Sr 0.000 0.500 0.500
Sr2 Sr 0.500 0.000 0.500
Co1 Co 0.000 0.000 0.500
Te1 Te 0.500 0.500 0.000
```

Computed properties:
**DOS(E_F)**: 3.475 states/eV/f.u.
**ΔE_f (raw)**: -0.28 eV/atom


(3)
# NpTlBr6

A relaxed NpTlBr6 crystal (PBE-GGA, Alexandria via LeMat-Bulk).

```
data_NpTlBr6
_chemical_formula_sum 'Np1 Tl1 Br6'
_cell_length_a 7.206
_cell_length_b 7.206
_cell_length_c 7.424
_cell_angle_alpha 98.18
_cell_angle_beta 98.18
_cell_angle_gamma 114.78
_symmetry_space_group_name_H-M 'P 1'
_symmetry_Int_Tables_number 1
loop_
_symmetry_equiv_pos_as_xyz
'x,y,z'
loop_
_atom_site_label
_atom_site_type_symbol
_atom_site_fract_x
_atom_site_fract_y
_atom_site_fract_z
Np1 Np 0.000 0.000 0.000
Tl1 Tl 0.500 0.500 0.500
Br1 Br 0.029 0.342 0.229
Br2 Br 0.249 0.249 0.809
Br3 Br 0.342 0.029 0.229
Br4 Br 0.658 0.971 0.771
Br5 Br 0.751 0.751 0.191
Br6 Br 0.971 0.658 0.771
```

Computed properties:
**DOS(E_F)**: 8.242 states/eV/f.u.
**ΔE_f (raw)**: -1.04 eV/atom


(4)
# RbMn2Te3

A relaxed RbMn2Te3 crystal (PBE-GGA, Alexandria via LeMat-Bulk).

```
data_RbMn2Te3
_chemical_formula_sum 'Rb2 Mn4 Te6'
_cell_length_a 13.882
_cell_length_b 13.882
_cell_length_c 7.671
_cell_angle_alpha 101.73
_cell_angle_beta 101.73
_cell_angle_gamma 18.38
_symmetry_space_group_name_H-M 'P 1'
_symmetry_Int_Tables_number 1
loop_
_symmetry_equiv_pos_as_xyz
'x,y,z'
loop_
_atom_site_label
_atom_site_type_symbol
_atom_site_fract_x
_atom_site_fract_y
_atom_site_fract_z
Rb1 Rb 0.093 0.093 0.077
Rb2 Rb 0.907 0.907 0.923
Mn1 Mn 0.204 0.204 0.482
Mn2 Mn 0.436 0.436 0.455
Mn3 Mn 0.564 0.564 0.545
Mn4 Mn 0.796 0.796 0.518
Te1 Te 0.121 0.121 0.615
Te2 Te 0.292 0.292 0.726
Te3 Te 0.500 0.500 0.236
Te4 Te 0.500 0.500 0.764
Te5 Te 0.708 0.708 0.274
Te6 Te 0.879 0.879 0.385
```

Computed properties:
**DOS(E_F)**: 2.865 states/eV/f.u.
**ΔE_f (raw)**: -0.34 eV/atom